Here is a geometry-optimized V3SnH structure from Alexandria via LeMat-Bulk. Energies are from PBE.

Properties
crystal system: monoclinic
SG: C2/c, No. 15
total energy: -137.83 eV/cell

a = 7.8376 Å, b = 7.8376 Å, c = 5.1801 Å
α = 96.34°, β = 96.34°, γ = 59.84°
Atoms (fractional coordinates):
V (0.0414, 0.6008, 0.4030)
V (0.0580, 0.2832, 0.0952)
V (0.2694, 0.3796, 0.9197)
V (0.2832, 0.0580, 0.5952)
V (0.3796, 0.2694, 0.4197)
V (0.3992, 0.9586, 0.0970)
V (0.6008, 0.0414, 0.9030)
V (0.6204, 0.7306, 0.5803)
V (0.7168, 0.9420, 0.4048)
V (0.7306, 0.6204, 0.0803)
V (0.9420, 0.7168, 0.9048)
V (0.9586, 0.3992, 0.5970)
Sn (0.0932, 0.9068, 0.2500)
Sn (0.3337, 0.6663, 0.7500)
Sn (0.6663, 0.3337, 0.2500)
Sn (0.9068, 0.0932, 0.7500)
H (0.2762, 0.4943, 0.2502)
H (0.4943, 0.2762, 0.7502)
H (0.5057, 0.7238, 0.2498)
H (0.7238, 0.5057, 0.7498)